Compound: KAl2NiP3H4O14
Source: the Alexandria database
Functional: GGA+U
Structure: relaxed

a b c (Å): 13.245 10.141 8.787
angles (deg): 90.00 107.86 90.00
Space group C2/c (No. 15)
Asymmetric unit:
K (0.000, 0.136, 0.250) [4 per cell]
Al (0.171, 0.424, 0.571) [8 per cell]
Ni (0.000, 0.222, 0.750) [4 per cell]
P (0.000, 0.498, 0.750) [4 per cell]
P (0.208, 0.125, 0.676) [8 per cell]
H (0.146, 0.278, 0.048) [8 per cell]
H (0.150, 0.126, 0.000) [8 per cell]
O (0.063, 0.411, 0.386) [8 per cell]
O (0.072, 0.400, 0.693) [8 per cell]
O (0.097, 0.096, 0.683) [8 per cell]
O (0.102, 0.203, 0.989) [8 per cell]
O (0.206, 0.416, 0.165) [8 per cell]
O (0.225, 0.046, 0.534) [8 per cell]
O (0.232, 0.273, 0.658) [8 per cell]

Values from the calculation:
**Volume**: 1123.29 Å³/cell
**Magnetic moment**: 0.0779 μB/atom
**E**: -650.043 eV for the cell shown